<A>
! GGA-PBE AcHgBi, optimized geometry; values from VASP
! * crystal system: trigonal
&SYSTEM
  ibrav = 0, nat = 6, ntyp = 3
/
ATOMIC_SPECIES
Ac 227.00 Ac.upf
Hg 200.59 Hg.upf
Bi 208.98 Bi.upf
ATOMIC_POSITIONS crystal
Ac 0.0726 0.0726 0.0726
Ac 0.9274 0.9274 0.9274
Hg 0.3342 0.3342 0.3342
Hg 0.6658 0.6658 0.6658
Bi 0.1990 0.1990 0.1990
Bi 0.8010 0.8010 0.8010
CELL_PARAMETERS angstrom
2.6250 1.5155 8.9747
-2.6250 1.5155 8.9747
0.0000 -3.0310 8.9747


<B>
! GGA-PBE AcHgBi, optimized geometry; values from VASP
! * crystal system: orthorhombic
&SYSTEM
  ibrav = 0, nat = 12, ntyp = 3
/
ATOMIC_SPECIES
Ac 227.00 Ac.upf
Hg 200.59 Hg.upf
Bi 208.98 Bi.upf
ATOMIC_POSITIONS crystal
Ac 0.0000 0.1635 0.2500
Ac 0.0000 0.8365 0.7500
Ac 0.5000 0.3365 0.7500
Ac 0.5000 0.6635 0.2500
Hg 0.0000 0.1742 0.7500
Hg 0.0000 0.8258 0.2500
Hg 0.5000 0.3258 0.2500
Hg 0.5000 0.6742 0.7500
Bi 0.0000 0.5000 0.0000
Bi 0.0000 0.5000 0.5000
Bi 0.5000 0.0000 0.0000
Bi 0.5000 0.0000 0.5000
CELL_PARAMETERS angstrom
5.7752 0.0000 0.0000
0.0000 9.5775 0.0000
0.0000 0.0000 7.0243


So which one is most stable? That would be <B>, about 0.205 eV/atom below the next structure.


<A>
! GGA-PBE Ac2HgBi, optimized geometry; values from VASP
! * crystal system: cubic
&SYSTEM
  ibrav = 0, nat = 16, ntyp = 3
/
ATOMIC_SPECIES
Ac 227.00 Ac.upf
Hg 200.59 Hg.upf
Bi 208.98 Bi.upf
ATOMIC_POSITIONS crystal
Ac 0.2500 0.2500 0.2500
Ac 0.2500 0.2500 0.7500
Ac 0.2500 0.7500 0.2500
Ac 0.2500 0.7500 0.7500
Ac 0.7500 0.2500 0.2500
Ac 0.7500 0.2500 0.7500
Ac 0.7500 0.7500 0.2500
Ac 0.7500 0.7500 0.7500
Hg 0.0000 0.0000 0.0000
Hg 0.0000 0.5000 0.5000
Hg 0.5000 0.0000 0.5000
Hg 0.5000 0.5000 0.0000
Bi 0.0000 0.0000 0.5000
Bi 0.0000 0.5000 0.0000
Bi 0.5000 0.0000 0.0000
Bi 0.5000 0.5000 0.5000
CELL_PARAMETERS angstrom
8.2372 0.0000 0.0000
0.0000 8.2372 0.0000
0.0000 0.0000 8.2372


<B>
! GGA-PBE Ac2HgBi, optimized geometry; values from VASP
! * crystal system: trigonal
&SYSTEM
  ibrav = 0, nat = 12, ntyp = 3
/
ATOMIC_SPECIES
Ac 227.00 Ac.upf
Hg 200.59 Hg.upf
Bi 208.98 Bi.upf
ATOMIC_POSITIONS crystal
Ac 0.0000 0.0000 0.2476
Ac 0.0000 0.0000 0.7524
Ac 0.3333 0.6667 0.4190
Ac 0.3333 0.6667 0.9143
Ac 0.6667 0.3333 0.0857
Ac 0.6667 0.3333 0.5810
Hg 0.0000 0.0000 0.5000
Hg 0.3333 0.6667 0.1667
Hg 0.6667 0.3333 0.8333
Bi 0.0000 0.0000 0.0000
Bi 0.3333 0.6667 0.6667
Bi 0.6667 0.3333 0.3333
CELL_PARAMETERS angstrom
5.3232 0.0000 0.0000
-2.6616 4.6100 0.0000
0.0000 0.0000 18.4402


<C>
! GGA-PBE Ac2HgBi, optimized geometry; values from VASP
! * crystal system: tetragonal
&SYSTEM
  ibrav = 0, nat = 4, ntyp = 3
/
ATOMIC_SPECIES
Ac 227.00 Ac.upf
Hg 200.59 Hg.upf
Bi 208.98 Bi.upf
ATOMIC_POSITIONS crystal
Ac 0.0000 0.5000 0.0000
Ac 0.5000 0.0000 0.0000
Hg 0.0000 0.0000 0.5000
Bi 0.5000 0.5000 0.5000
CELL_PARAMETERS angstrom
5.6499 0.0000 0.0000
0.0000 5.6499 0.0000
0.0000 0.0000 4.3535


So which one is most stable? That would be <C>, about 0.059 eV/atom below the next structure.


<A>
! GGA-PBE AcHgBi2, optimized geometry; values from VASP
! * crystal system: orthorhombic
&SYSTEM
  ibrav = 0, nat = 8, ntyp = 3
/
ATOMIC_SPECIES
Ac 227.00 Ac.upf
Hg 200.59 Hg.upf
Bi 208.98 Bi.upf
ATOMIC_POSITIONS crystal
Ac 0.0000 0.0000 0.0000
Ac 0.5000 0.5000 0.5000
Hg 0.0000 0.0000 0.5000
Hg 0.5000 0.5000 0.0000
Bi 0.0000 0.5000 0.2500
Bi 0.0000 0.5000 0.7500
Bi 0.5000 0.0000 0.2500
Bi 0.5000 0.0000 0.7500
CELL_PARAMETERS angstrom
4.8775 0.0000 0.0000
0.0000 4.8875 0.0000
0.0000 0.0000 10.7848


<B>
! GGA-PBE AcHgBi2, optimized geometry; values from VASP
! * crystal system: trigonal
&SYSTEM
  ibrav = 0, nat = 12, ntyp = 3
/
ATOMIC_SPECIES
Ac 227.00 Ac.upf
Hg 200.59 Hg.upf
Bi 208.98 Bi.upf
ATOMIC_POSITIONS crystal
Ac 0.0000 0.0000 0.0000
Ac 0.3333 0.6667 0.6667
Ac 0.6667 0.3333 0.3333
Hg 0.0000 0.0000 0.5000
Hg 0.3333 0.6667 0.1667
Hg 0.6667 0.3333 0.8333
Bi 0.0000 0.0000 0.2212
Bi 0.0000 0.0000 0.7788
Bi 0.3333 0.6667 0.4455
Bi 0.3333 0.6667 0.8879
Bi 0.6667 0.3333 0.1121
Bi 0.6667 0.3333 0.5545
CELL_PARAMETERS angstrom
5.3675 0.0000 0.0000
-2.6837 4.6484 0.0000
0.0000 0.0000 16.2211


So which one is most stable? That would be <A>, about 0.231 eV/atom below the next structure.


<A>
! GGA-PBE AcHgBi3, optimized geometry; values from VASP
! * crystal system: monoclinic
&SYSTEM
  ibrav = 0, nat = 10, ntyp = 3
/
ATOMIC_SPECIES
Ac 227.00 Ac.upf
Hg 200.59 Hg.upf
Bi 208.98 Bi.upf
ATOMIC_POSITIONS crystal
Ac 0.0000 0.0000 0.0000
Ac 0.5000 0.5000 0.0000
Hg 0.0000 0.5000 0.5000
Hg 0.5000 0.0000 0.5000
Bi 0.0000 0.0000 0.5000
Bi 0.2500 0.2500 0.5000
Bi 0.2500 0.7500 0.5000
Bi 0.5000 0.5000 0.5000
Bi 0.7500 0.2500 0.5000
Bi 0.7500 0.7500 0.5000
CELL_PARAMETERS angstrom
9.3580 0.0000 0.0000
0.0000 8.9258 0.0000
-4.3421 0.0000 5.2643


<B>
! GGA-PBE AcHgBi3, optimized geometry; values from VASP
! * crystal system: tetragonal
&SYSTEM
  ibrav = 0, nat = 10, ntyp = 3
/
ATOMIC_SPECIES
Ac 227.00 Ac.upf
Hg 200.59 Hg.upf
Bi 208.98 Bi.upf
ATOMIC_POSITIONS crystal
Ac 0.2120 0.2120 0.0000
Ac 0.7880 0.7880 0.0000
Hg 0.2500 0.7500 0.5000
Hg 0.5000 0.5000 0.0000
Bi 0.3581 0.1124 0.7543
Bi 0.3581 0.6038 0.2457
Bi 0.3962 0.6419 0.7543
Bi 0.6794 0.1794 0.5000
Bi 0.8206 0.3206 0.5000
Bi 0.8876 0.6419 0.2457
CELL_PARAMETERS angstrom
-3.3099 3.3099 11.0392
3.3099 -3.3099 11.0392
3.3099 3.3099 -11.0392


So which one is most stable? That would be <B>, about 0.122 eV/atom below the next structure.


<A>
! GGA-PBE AcHgBi4, optimized geometry; values from VASP
! * crystal system: orthorhombic
&SYSTEM
  ibrav = 0, nat = 12, ntyp = 3
/
ATOMIC_SPECIES
Ac 227.00 Ac.upf
Hg 200.59 Hg.upf
Bi 208.98 Bi.upf
ATOMIC_POSITIONS crystal
Ac 0.0000 0.0000 0.0000
Ac 0.5000 0.5000 0.5000
Hg 0.0000 0.5000 0.0000
Hg 0.5000 0.0000 0.5000
Bi 0.0000 0.2340 0.3294
Bi 0.0000 0.2340 0.6706
Bi 0.0000 0.7660 0.3294
Bi 0.0000 0.7660 0.6706
Bi 0.5000 0.2660 0.1706
Bi 0.5000 0.2660 0.8294
Bi 0.5000 0.7340 0.1706
Bi 0.5000 0.7340 0.8294
CELL_PARAMETERS angstrom
5.5325 0.0000 0.0000
0.0000 6.8397 0.0000
0.0000 0.0000 10.4680


<B>
! GGA-PBE AcHgBi4, optimized geometry; values from VASP
! * crystal system: cubic
&SYSTEM
  ibrav = 0, nat = 6, ntyp = 3
/
ATOMIC_SPECIES
Ac 227.00 Ac.upf
Hg 200.59 Hg.upf
Bi 208.98 Bi.upf
ATOMIC_POSITIONS crystal
Ac 0.0000 0.0000 0.0000
Hg 0.2500 0.2500 0.2500
Bi 0.1292 0.6236 0.6236
Bi 0.6236 0.1292 0.6236
Bi 0.6236 0.6236 0.1292
Bi 0.6236 0.6236 0.6236
CELL_PARAMETERS angstrom
0.0000 4.6808 4.6808
4.6808 0.0000 4.6808
4.6808 4.6808 0.0000


So which one is most stable? That would be <A>, about 0.048 eV/atom below the next structure.


<A>
! GGA-PBE AcSnHgBi, optimized geometry; values from VASP
! * crystal system: orthorhombic
&SYSTEM
  ibrav = 0, nat = 4, ntyp = 4
/
ATOMIC_SPECIES
Ac 227.00 Ac.upf
Sn 118.71 Sn.upf
Hg 200.59 Hg.upf
Bi 208.98 Bi.upf
ATOMIC_POSITIONS crystal
Ac 0.0000 0.0000 0.0000
Sn 0.0000 0.5000 0.5000
Hg 0.5000 0.5000 0.0000
Bi 0.5000 0.0000 0.5000
CELL_PARAMETERS angstrom
4.8098 0.0000 0.0000
0.0000 4.8446 0.0000
0.0000 0.0000 5.2818


<B>
! GGA-PBE AcSnHgBi, optimized geometry; values from VASP
! * crystal system: cubic
&SYSTEM
  ibrav = 0, nat = 16, ntyp = 4
/
ATOMIC_SPECIES
Ac 227.00 Ac.upf
Sn 118.71 Sn.upf
Hg 200.59 Hg.upf
Bi 208.98 Bi.upf
ATOMIC_POSITIONS crystal
Ac 0.0000 0.0000 0.0000
Ac 0.0000 0.5000 0.5000
Ac 0.5000 0.0000 0.5000
Ac 0.5000 0.5000 0.0000
Sn 0.2500 0.2500 0.7500
Sn 0.2500 0.7500 0.2500
Sn 0.7500 0.2500 0.2500
Sn 0.7500 0.7500 0.7500
Hg 0.2500 0.2500 0.2500
Hg 0.2500 0.7500 0.7500
Hg 0.7500 0.2500 0.7500
Hg 0.7500 0.7500 0.2500
Bi 0.0000 0.0000 0.5000
Bi 0.0000 0.5000 0.0000
Bi 0.5000 0.0000 0.0000
Bi 0.5000 0.5000 0.5000
CELL_PARAMETERS angstrom
7.9475 0.0000 0.0000
0.0000 7.9475 0.0000
0.0000 0.0000 7.9475


So which one is most stable? That would be <A>, about 0.142 eV/atom below the next structure.